Record 1
Here is crystalline Zr2Sc3N4 at its relaxed geometry from the Alexandria database. Energies are from PBE.

The structure in POSCAR format:
```
Zr2Sc3N4
1.0
3.1483 0.0000 0.7744
1.3996 5.3090 1.0969
-0.0954 0.4570 7.1744
Zr Sc N
2 3 4
Direct
0.6050 0.1800 0.6100
0.3950 0.8200 0.3900
0.0000 0.0000 0.0000
0.2066 0.3976 0.1892
0.7934 0.6024 0.8108
0.7996 0.1043 0.2965
0.2004 0.8957 0.7035
0.4003 0.3013 0.8982
0.5997 0.6987 0.1018
```

Results
- Formation energy without anion corrections: -1.653 eV per atom
- SG: C2/m (12)
- Size of the total moment: 0.00 μB per formula unit

Record 2
Here is crystalline TmThZnTc at its relaxed geometry from the Alexandria database. Energies are from PBE.

The structure in POSCAR format:
```
TmThZnTc
1.0
-2.4699 3.1519 2.9982
-4.2247 2.1627 -1.5807
-4.3926 -1.3515 1.9755
Zn Tm Tc Th
1 1 1 1
Direct
0.0000 0.0000 0.0000
0.2500 0.2500 0.2500
0.5000 0.5000 0.5000
0.7500 0.7500 0.7500
```

Results
- ΔE_f: -0.64 eV per formula unit
- SG: F-43m (216)
- Size of the total moment: 0.00 μB per formula unit

Record 3
Here is crystalline BeZnTe2 at its relaxed geometry from the Alexandria database. Energies are from PBE.

The structure in POSCAR format:
```
BeZnTe2
1.0
6.8533 0.0000 0.9729
1.5250 1.9513 -3.0115
-1.5250 1.9513 3.0115
Be Zn Te
1 1 2
Direct
0.5000 0.5000 0.5000
0.0000 0.0000 0.0000
0.7263 0.7570 0.2430
0.2737 0.2430 0.7570
```

Results
- Formation energy without anion corrections: -0.010 eV per atom
- SG: C2/m (12)
- Size of the total moment: 0.00 μB per formula unit